# TbSmTiN3 PBE optimized geometry
# **Theoretical density**: 6.7 g/cm³
# **Formation energy from raw total energies**: -7.95 eV/f.u.
# **Total magnetic moment**: 0.00 μB/cell
# **Uncorrected energy**: -100.338 eV for the cell shown
data_TbSmTiN3
_space_group_name_H-M_alt 'P 1 21/m 1'
_space_group_IT_number 11
_space_group_name_Hall '-P 2yb'
_cell_length_a 7.197
_cell_length_b 3.559
_cell_length_c 7.792
_cell_angle_alpha 90.00
_cell_angle_beta 97.75
_cell_angle_gamma 90.00
loop_
_atom_site_label
_atom_site_type_symbol
_atom_site_fract_x
_atom_site_fract_y
_atom_site_fract_z
_atom_site_occupancy
Tb1 Tb 0.130 0.250 0.160 1
Sm1 Sm 0.335 0.750 0.840 1
Ti1 Ti 0.401 0.750 0.401 1
N1 N 0.102 0.250 0.864 1
N2 N 0.329 0.250 0.476 1
N3 N 0.393 0.750 0.150 1


# Tb2SmTlN PBE optimized geometry
# **Theoretical density**: 9.8 g/cm³
# **Formation energy from raw total energies**: -4.52 eV/f.u.
# **Total magnetic moment**: 0.00 μB/cell
# **Uncorrected energy**: -29.195 eV for the cell shown
data_Tb2SmTlN
_space_group_name_H-M_alt 'P 4/m m m'
_space_group_IT_number 123
_space_group_name_Hall '-P 4 2'
_cell_length_a 4.856
_cell_length_b 4.856
_cell_length_c 4.954
_cell_angle_alpha 90.00
_cell_angle_beta 90.00
_cell_angle_gamma 90.00
loop_
_atom_site_label
_atom_site_type_symbol
_atom_site_fract_x
_atom_site_fract_y
_atom_site_fract_z
_atom_site_occupancy
Tb1 Tb 0.000 0.500 0.000 1
Sm1 Sm 0.000 0.000 0.500 1
Tl1 Tl 0.500 0.500 0.500 1
N1 N 0.000 0.000 0.000 1


# TbSm2TmN4 PBE optimized geometry
# **Theoretical density**: 9.2 g/cm³
# **Formation energy from raw total energies**: -12.78 eV/f.u.
# **Total magnetic moment**: 0.00 μB/cell
# **Uncorrected energy**: -64.617 eV for the cell shown
data_TbSm2TmN4
_space_group_name_H-M_alt 'P 1 2/m 1'
_space_group_IT_number 10
_space_group_name_Hall '-P 2y'
_cell_length_a 6.095
_cell_length_b 3.520
_cell_length_c 6.099
_cell_angle_alpha 90.00
_cell_angle_beta 109.42
_cell_angle_gamma 90.00
loop_
_atom_site_label
_atom_site_type_symbol
_atom_site_fract_x
_atom_site_fract_y
_atom_site_fract_z
_atom_site_occupancy
Tb1 Tb 0.000 0.000 0.000 1
Sm1 Sm 0.000 0.500 0.500 1
Sm2 Sm 0.500 0.000 0.500 1
Tm1 Tm 0.500 0.500 0.000 1
N1 N 0.250 0.500 0.242 1
N2 N 0.256 0.000 0.759 1


# Tb2Sm3UN6 PBE optimized geometry
# **Theoretical density**: 9.8 g/cm³
# **Formation energy from raw total energies**: -18.94 eV/f.u.
# **Total magnetic moment**: 0.77 μB/cell
# **Uncorrected energy**: -207.189 eV for the cell shown
data_Tb2Sm3UN6
_space_group_name_H-M_alt 'C 1 2/m 1'
_space_group_IT_number 12
_space_group_name_Hall '-C 2y'
_cell_length_a 6.085
_cell_length_b 10.529
_cell_length_c 6.112
_cell_angle_alpha 90.00
_cell_angle_beta 109.38
_cell_angle_gamma 90.00
loop_
_atom_site_label
_atom_site_type_symbol
_atom_site_fract_x
_atom_site_fract_y
_atom_site_fract_z
_atom_site_occupancy
Tb1 Tb 0.000 0.166 0.000 1
Sm1 Sm 0.000 0.000 0.500 1
Sm2 Sm 0.000 0.332 0.500 1
U1 U 0.000 0.500 0.000 1
N1 N 0.232 0.345 0.229 1
N2 N 0.234 0.500 0.771 1


# TbSm2UN4 PBE optimized geometry
# **Theoretical density**: 10.2 g/cm³
# **Formation energy from raw total energies**: -12.26 eV/f.u.
# **Total magnetic moment**: 0.79 μB/cell
# **Uncorrected energy**: -70.922 eV for the cell shown
data_TbSm2UN4
_space_group_name_H-M_alt 'P 1 2/m 1'
_space_group_IT_number 10
_space_group_name_Hall '-P 2y'
_cell_length_a 6.047
_cell_length_b 3.522
_cell_length_c 6.093
_cell_angle_alpha 90.00
_cell_angle_beta 109.02
_cell_angle_gamma 90.00
loop_
_atom_site_label
_atom_site_type_symbol
_atom_site_fract_x
_atom_site_fract_y
_atom_site_fract_z
_atom_site_occupancy
Tb1 Tb 0.000 0.000 0.000 1
Sm1 Sm 0.000 0.500 0.500 1
Sm2 Sm 0.500 0.000 0.500 1
U1 U 0.500 0.500 0.000 1
N1 N 0.265 0.500 0.224 1
N2 N 0.271 0.000 0.777 1


# Tb3Sm2UN6 PBE optimized geometry
# **Theoretical density**: 10.0 g/cm³
# **Formation energy from raw total energies**: -19.12 eV/f.u.
# **Total magnetic moment**: 0.96 μB/cell
# **Uncorrected energy**: -207.389 eV for the cell shown
data_Tb3Sm2UN6
_space_group_name_H-M_alt 'C 1 2/m 1'
_space_group_IT_number 12
_space_group_name_Hall '-C 2y'
_cell_length_a 6.084
_cell_length_b 10.531
_cell_length_c 6.058
_cell_angle_alpha 90.00
_cell_angle_beta 109.58
_cell_angle_gamma 90.00
loop_
_atom_site_label
_atom_site_type_symbol
_atom_site_fract_x
_atom_site_fract_y
_atom_site_fract_z
_atom_site_occupancy
Tb1 Tb 0.000 0.000 0.000 1
Tb2 Tb 0.000 0.333 0.000 1
Sm1 Sm 0.000 0.166 0.500 1
U1 U 0.000 0.500 0.500 1
N1 N 0.226 0.500 0.260 1
N2 N 0.235 0.346 0.743 1


# Tb2SmVN4 PBE optimized geometry
# **Theoretical density**: 8.1 g/cm³
# **Formation energy from raw total energies**: -10.65 eV/f.u.
# **Total magnetic moment**: 0.00 μB/cell
# **Uncorrected energy**: -268.183 eV for the cell shown
data_Tb2SmVN4
_space_group_name_H-M_alt 'C m c m'
_space_group_IT_number 63
_space_group_name_Hall '-C 2c 2'
_cell_length_a 3.387
_cell_length_b 11.701
_cell_length_c 11.839
_cell_angle_alpha 90.00
_cell_angle_beta 90.00
_cell_angle_gamma 90.00
loop_
_atom_site_label
_atom_site_type_symbol
_atom_site_fract_x
_atom_site_fract_y
_atom_site_fract_z
_atom_site_occupancy
Tb1 Tb 0.000 0.130 0.043 1
Sm1 Sm 0.000 0.414 0.250 1
V1 V 0.000 0.326 0.750 1
N1 N 0.000 0.074 0.250 1
N2 N 0.000 0.234 0.628 1
N3 N 0.000 0.500 0.000 1


# Tb2SmYN4 PBE optimized geometry
# **Theoretical density**: 8.3 g/cm³
# **Formation energy from raw total energies**: -12.95 eV/f.u.
# **Total magnetic moment**: 0.00 μB/cell
# **Uncorrected energy**: -66.698 eV for the cell shown
data_Tb2SmYN4
_space_group_name_H-M_alt 'P 1 2/m 1'
_space_group_IT_number 10
_space_group_name_Hall '-P 2y'
_cell_length_a 6.090
_cell_length_b 3.517
_cell_length_c 6.090
_cell_angle_alpha 90.00
_cell_angle_beta 109.44
_cell_angle_gamma 90.00
loop_
_atom_site_label
_atom_site_type_symbol
_atom_site_fract_x
_atom_site_fract_y
_atom_site_fract_z
_atom_site_occupancy
Tb1 Tb 0.000 0.000 0.000 1
Tb2 Tb 0.000 0.500 0.500 1
Sm1 Sm 0.500 0.000 0.500 1
Y1 Y 0.500 0.500 0.000 1
N1 N 0.246 0.500 0.246 1
N2 N 0.249 0.000 0.752 1


# Tb2SmZrN4 PBE optimized geometry
# **Theoretical density**: 8.8 g/cm³
# **Formation energy from raw total energies**: -13.06 eV/f.u.
# **Total magnetic moment**: 0.00 μB/cell
# **Uncorrected energy**: -68.888 eV for the cell shown
data_Tb2SmZrN4
_space_group_name_H-M_alt 'P 1 2/m 1'
_space_group_IT_number 10
_space_group_name_Hall '-P 2y'
_cell_length_a 5.967
_cell_length_b 3.444
_cell_length_c 5.987
_cell_angle_alpha 90.00
_cell_angle_beta 109.23
_cell_angle_gamma 90.00
loop_
_atom_site_label
_atom_site_type_symbol
_atom_site_fract_x
_atom_site_fract_y
_atom_site_fract_z
_atom_site_occupancy
Tb1 Tb 0.000 0.000 0.000 1
Tb2 Tb 0.000 0.500 0.500 1
Sm1 Sm 0.500 0.000 0.500 1
Zr1 Zr 0.500 0.500 0.000 1
N1 N 0.255 0.500 0.236 1
N2 N 0.262 0.000 0.766 1


# Tb2SmZr3N6 PBE optimized geometry
# **Theoretical density**: 8.4 g/cm³
# **Formation energy from raw total energies**: -20.10 eV/f.u.
# **Total magnetic moment**: 0.00 μB/cell
# **Uncorrected energy**: -219.356 eV for the cell shown
data_Tb2SmZr3N6
_space_group_name_H-M_alt 'C 1 2/m 1'
_space_group_IT_number 12
_space_group_name_Hall '-C 2y'
_cell_length_a 5.831
_cell_length_b 10.085
_cell_length_c 5.902
_cell_angle_alpha 90.00
_cell_angle_beta 109.25
_cell_angle_gamma 90.00
loop_
_atom_site_label
_atom_site_type_symbol
_atom_site_fract_x
_atom_site_fract_y
_atom_site_fract_z
_atom_site_occupancy
Tb1 Tb 0.000 0.167 0.000 1
Sm1 Sm 0.000 0.500 0.000 1
Zr1 Zr 0.000 0.000 0.500 1
Zr2 Zr 0.000 0.332 0.500 1
N1 N 0.240 0.169 0.728 1
N2 N 0.247 0.500 0.727 1


# Tb3SmZr2N6 PBE optimized geometry
# **Theoretical density**: 8.7 g/cm³
# **Formation energy from raw total energies**: -19.85 eV/f.u.
# **Total magnetic moment**: 0.00 μB/cell
# **Uncorrected energy**: -211.007 eV for the cell shown
data_Tb3SmZr2N6
_space_group_name_H-M_alt 'C 1 2/m 1'
_space_group_IT_number 12
_space_group_name_Hall '-C 2y'
_cell_length_a 14.908
_cell_length_b 3.415
_cell_length_c 6.869
_cell_angle_alpha 90.00
_cell_angle_beta 103.33
_cell_angle_gamma 90.00
loop_
_atom_site_label
_atom_site_type_symbol
_atom_site_fract_x
_atom_site_fract_y
_atom_site_fract_z
_atom_site_occupancy
Tb1 Tb 0.000 0.000 0.000 1
Tb2 Tb 0.167 0.500 0.332 1
Sm1 Sm 0.000 0.000 0.500 1
Zr1 Zr 0.168 0.500 0.836 1
N1 N 0.009 0.500 0.761 1
N2 N 0.170 0.000 0.601 1
N3 N 0.172 0.000 0.073 1


# TbSmZrN3 PBE optimized geometry
# **Theoretical density**: 8.4 g/cm³
# **Formation energy from raw total energies**: -8.48 eV/f.u.
# **Total magnetic moment**: 0.00 μB/cell
# **Uncorrected energy**: -102.700 eV for the cell shown
data_TbSmZrN3
_space_group_name_H-M_alt 'P 1 21/m 1'
_space_group_IT_number 11
_space_group_name_Hall '-P 2yb'
_cell_length_a 5.817
_cell_length_b 3.410
_cell_length_c 8.991
_cell_angle_alpha 90.00
_cell_angle_beta 100.95
_cell_angle_gamma 90.00
loop_
_atom_site_label
_atom_site_type_symbol
_atom_site_fract_x
_atom_site_fract_y
_atom_site_fract_z
_atom_site_occupancy
Tb1 Tb 0.153 0.250 0.140 1
Sm1 Sm 0.335 0.250 0.797 1
Zr1 Zr 0.236 0.750 0.458 1
N1 N 0.032 0.750 0.642 1
N2 N 0.250 0.750 0.991 1
N3 N 0.457 0.250 0.353 1


# TbSmZr2N4 PBE optimized geometry
# **Theoretical density**: 8.3 g/cm³
# **Formation energy from raw total energies**: -13.25 eV/f.u.
# **Total magnetic moment**: 0.00 μB/cell
# **Uncorrected energy**: -72.998 eV for the cell shown
data_TbSmZr2N4
_space_group_name_H-M_alt 'P 1 2/m 1'
_space_group_IT_number 10
_space_group_name_Hall '-P 2y'
_cell_length_a 5.832
_cell_length_b 3.371
_cell_length_c 5.921
_cell_angle_alpha 90.00
_cell_angle_beta 109.24
_cell_angle_gamma 90.00
loop_
_atom_site_label
_atom_site_type_symbol
_atom_site_fract_x
_atom_site_fract_y
_atom_site_fract_z
_atom_site_occupancy
Tb1 Tb 0.000 0.000 0.000 1
Sm1 Sm 0.500 0.500 0.000 1
Zr1 Zr 0.000 0.500 0.500 1
Zr2 Zr 0.500 0.000 0.500 1
N1 N 0.239 0.000 0.725 1
N2 N 0.254 0.500 0.272 1


# SmTcN PBE optimized geometry
# **Theoretical density**: 9.1 g/cm³
# **Formation energy from raw total energies**: -2.29 eV/f.u.
# **Total magnetic moment**: 0.00 μB/cell
# **E above lowest polymorph**: 0 meV/atom
# **Uncorrected energy**: -102.815 eV for the cell shown
data_SmTcN
_space_group_name_H-M_alt 'P n m a'
_space_group_IT_number 62
_space_group_name_Hall '-P 2ac 2n'
_cell_length_a 15.514
_cell_length_b 3.557
_cell_length_c 3.481
_cell_angle_alpha 90.00
_cell_angle_beta 90.00
_cell_angle_gamma 90.00
loop_
_atom_site_label
_atom_site_type_symbol
_atom_site_fract_x
_atom_site_fract_y
_atom_site_fract_z
_atom_site_occupancy
Sm1 Sm 0.169 0.250 0.188 1
Tc1 Tc 0.036 0.750 0.684 1
N1 N 0.170 0.750 0.697 1


# Sm2TcN3 PBE optimized geometry
# **Theoretical density**: 8.6 g/cm³
# **Formation energy from raw total energies**: -6.19 eV/f.u.
# **Total magnetic moment**: 0.00 μB/cell
# **Uncorrected energy**: -101.935 eV for the cell shown
data_Sm2TcN3
_space_group_name_H-M_alt 'I m m m'
_space_group_IT_number 71
_space_group_name_Hall '-I 2 2'
_cell_length_a 3.443
_cell_length_b 3.878
_cell_length_c 12.820
_cell_angle_alpha 90.00
_cell_angle_beta 90.00
_cell_angle_gamma 90.00
loop_
_atom_site_label
_atom_site_type_symbol
_atom_site_fract_x
_atom_site_fract_y
_atom_site_fract_z
_atom_site_occupancy
Sm1 Sm 0.000 0.000 0.149 1
Tc1 Tc 0.000 0.000 0.500 1
N1 N 0.000 0.000 0.338 1
N2 N 0.000 0.500 0.500 1


# SmTc7N12 PBE optimized geometry
# **Theoretical density**: 7.5 g/cm³
# **Formation energy from raw total energies**: 6.36 eV/f.u.
# **Total magnetic moment**: 14.84 μB/cell
# **Uncorrected energy**: -341.655 eV for the cell shown
data_SmTc7N12
_space_group_name_H-M_alt 'I m -3'
_space_group_IT_number 204
_space_group_name_Hall '-I 2 2 3'
_cell_length_a 7.636
_cell_length_b 7.636
_cell_length_c 7.636
_cell_angle_alpha 90.00
_cell_angle_beta 90.00
_cell_angle_gamma 90.00
loop_
_atom_site_label
_atom_site_type_symbol
_atom_site_fract_x
_atom_site_fract_y
_atom_site_fract_z
_atom_site_occupancy
Sm1 Sm 0.000 0.000 0.000 1
Tc1 Tc 0.000 0.000 0.500 1
Tc2 Tc 0.250 0.250 0.250 1
N1 N 0.000 0.307 0.182 1


# Sm3TcN4 PBE optimized geometry
# **Theoretical density**: 7.4 g/cm³
# **Formation energy from raw total energies**: -7.21 eV/f.u.
# **Total magnetic moment**: 1.53 μB/cell
# **Uncorrected energy**: -130.069 eV for the cell shown
data_Sm3TcN4
_space_group_name_H-M_alt 'P m n 21'
_space_group_IT_number 31
_space_group_name_Hall 'P 2ac -2'
_cell_length_a 7.759
_cell_length_b 6.809
_cell_length_c 5.129
_cell_angle_alpha 90.00
_cell_angle_beta 90.00
_cell_angle_gamma 90.00
loop_
_atom_site_label
_atom_site_type_symbol
_atom_site_fract_x
_atom_site_fract_y
_atom_site_fract_z
_atom_site_occupancy
Sm1 Sm 0.000 0.141 0.000 1
Sm2 Sm 0.247 0.330 0.500 1
Tc1 Tc 0.000 0.822 0.476 1
N1 N 0.000 0.112 0.494 1
N2 N 0.000 0.815 0.061 1
N3 N 0.230 0.688 0.494 1


# SmTcN PBE optimized geometry
# **Theoretical density**: 8.9 g/cm³
# **Formation energy from raw total energies**: -0.98 eV/f.u.
# **Total magnetic moment**: 0.33 μB/cell
# **E above lowest polymorph**: 439 meV/atom
# **Uncorrected energy**: -24.386 eV for the cell shown
data_SmTcN
_space_group_name_H-M_alt 'P 3 m 1'
_space_group_IT_number 156
_space_group_name_Hall 'P 3 -2"'
_cell_length_a 3.3541
_cell_length_b 3.3541
_cell_length_c 5.0273
_cell_angle_alpha 90.00
_cell_angle_beta 90.00
_cell_angle_gamma 120.00
loop_
_atom_site_label
_atom_site_type_symbol
_atom_site_fract_x
_atom_site_fract_y
_atom_site_fract_z
_atom_site_occupancy
Sm1 Sm 0.0000 0.0000 0.0000 1
Tc1 Tc 0.3333 0.6667 0.4603 1
N1 N 0.6667 0.3333 0.3051 1


# SmTm2TcN4 PBE optimized geometry
# **Theoretical density**: 9.4 g/cm³
# **Formation energy from raw total energies**: -9.15 eV/f.u.
# **Total magnetic moment**: 0.00 μB/cell
# **Uncorrected energy**: -265.901 eV for the cell shown
data_SmTm2TcN4
_space_group_name_H-M_alt 'C m c m'
_space_group_IT_number 63
_space_group_name_Hall '-C 2c 2'
_cell_length_a 3.416
_cell_length_b 11.550
_cell_length_c 11.448
_cell_angle_alpha 90.00
_cell_angle_beta 90.00
_cell_angle_gamma 90.00
loop_
_atom_site_label
_atom_site_type_symbol
_atom_site_fract_x
_atom_site_fract_y
_atom_site_fract_z
_atom_site_occupancy
Sm1 Sm 0.000 0.126 0.250 1
Tm1 Tm 0.000 0.369 0.040 1
Tc1 Tc 0.000 0.137 0.750 1
N1 N 0.000 0.000 0.000 1
N2 N 0.000 0.262 0.626 1
N3 N 0.000 0.446 0.250 1


# Sm2VTcN5 PBE optimized geometry
# **Theoretical density**: 7.6 g/cm³
# **Formation energy from raw total energies**: -8.26 eV/f.u.
# **Total magnetic moment**: 3.20 μB/cell
# **Uncorrected energy**: -315.248 eV for the cell shown
data_Sm2VTcN5
_space_group_name_H-M_alt 'C m c 21'
_space_group_IT_number 36
_space_group_name_Hall 'C 2c -2'
_cell_length_a 3.361
_cell_length_b 13.690
_cell_length_c 9.870
_cell_angle_alpha 90.00
_cell_angle_beta 90.00
_cell_angle_gamma 90.00
loop_
_atom_site_label
_atom_site_type_symbol
_atom_site_fract_x
_atom_site_fract_y
_atom_site_fract_z
_atom_site_occupancy
Sm1 Sm 0.000 0.117 0.000 1
Sm2 Sm 0.000 0.136 0.629 1
V1 V 0.000 0.445 0.766 1
Tc1 Tc 0.000 0.211 0.346 1
N1 N 0.000 0.042 0.350 1
N2 N 0.000 0.296 0.966 1
N3 N 0.000 0.317 0.698 1
N4 N 0.000 0.350 0.327 1
N5 N 0.000 0.498 0.107 1